Density functional theory data (PBE-GGA) for LaCdNi17 after structural relaxation.

It has space group R3m (No. 160, hexagonal axes), with a = 8.3043 Å, b = 8.3043 Å, c = 12.0837 Å, α = 90.00°, β = 90.00° and γ = 120.00°. Symmetry generates all atoms from La at (0.0000, 0.0000, 0.0000), Cd at (0.0000, 0.0000, 0.3121), Ni at (0.0000, 0.0000, 0.5537), Ni at (0.0000, 0.0000, 0.7517), Ni at (0.0422, 0.3737, 0.3222), Ni at (0.1683, 0.3366, 0.4889), Ni at (0.1689, 0.3378, 0.8362) and Ni at (0.1717, 0.3433, 0.1421).

Its total energy is -5.508 eV per atom. Its formation energy is -27.5 meV/atom. The density is 8.62 g/cm3. As for the calculated volume: 12.66 Å³/atom. The density of states at the Fermi level is 1.436 states/eV per atom.